{"formula": "KLuCoS3", "functional": "PBE", "state": "relaxed", "lattice_angstrom": [[10.2626, 0.0000, 0.0000], [0.0000, 3.8458, 0.0000], [0.0000, 0.0000, 14.0792]], "species": ["Co", "S", "Lu", "S", "K", "Co", "S", "S", "Co", "Co", "K", "S", "S", "S", "S", "S", "K", "K", "S", "S", "S", "Lu", "Lu", "Lu"], "fractional_positions": [[0.2339, 0.2500, 0.2166], [0.7640, 0.2500, 0.6904], [0.4831, 0.7500, 0.2426], [0.9118, 0.2500, 0.3770], [0.7244, 0.7500, 0.5070], [0.7339, 0.2500, 0.2834], [0.5882, 0.7500, 0.8770], [0.7360, 0.7500, 0.1904], [0.7661, 0.7500, 0.7834], [0.2661, 0.7500, 0.7166], [0.7756, 0.2500, 0.0070], [0.2640, 0.2500, 0.8096], [0.2360, 0.7500, 0.3096], [0.4527, 0.7500, 0.6336], [0.4118, 0.2500, 0.1230], [0.0882, 0.7500, 0.6230], [0.2756, 0.2500, 0.4930], [0.2244, 0.7500, 0.9930], [0.9527, 0.7500, 0.8664], [0.0473, 0.2500, 0.1336], [0.5473, 0.2500, 0.3664], [0.5169, 0.2500, 0.7574], [0.0169, 0.2500, 0.7426], [0.9831, 0.7500, 0.2574]], "spacegroup": "Pnma", "e_tot_ha_per_atom": -0.201, "polymorph_energy_kcal_per_mol_atoms": 0.55}

---

{"formula": "HoUAu", "functional": "PBE", "state": "relaxed", "lattice_angstrom": [[0.0000, 3.4940, 3.4940], [3.4940, 0.0000, 3.4940], [3.4940, 3.4940, 0.0000]], "species": ["Ho", "Au", "U"], "fractional_positions": [[0.2500, 0.2500, 0.2500], [0.0000, 0.0000, 0.0000], [0.7500, 0.7500, 0.7500]], "e_form_mev_per_atom": 220, "spacegroup": "F-43m", "e_tot_ha_per_atom": -0.226, "polymorph_energy_kcal_per_mol_atoms": 0.00}

---

{"formula": "BaCdPF", "functional": "PBE", "state": "relaxed", "lattice_angstrom": [[-2.6604, -3.0096, -1.6264], [2.1132, 0.1745, -3.7795], [5.8801, -6.8048, 2.9735]], "species": ["Cd", "P", "F", "Cd", "P", "Ba", "F", "Ba"], "fractional_positions": [[0.0000, 0.0000, 0.5000], [0.0000, 0.5000, 0.6716], [0.0000, 0.0000, 0.0000], [0.5000, 0.5000, 0.5000], [0.5000, 0.0000, 0.3284], [0.0000, 0.5000, 0.1614], [0.5000, 0.5000, 0.0000], [0.5000, 0.0000, 0.8386]], "spacegroup": "P4/nmm", "e_tot_ha_per_atom": -0.159}

---

{"formula": "BeCdGaFe", "functional": "PBE", "state": "relaxed", "lattice_angstrom": [[0.0000, 3.0287, 3.0287], [3.0287, 0.0000, 3.0287], [3.0287, 3.0287, 0.0000]], "species": ["Fe", "Be", "Cd", "Ga"], "fractional_positions": [[0.7500, 0.7500, 0.7500], [0.5000, 0.5000, 0.5000], [0.2500, 0.2500, 0.2500], [0.0000, 0.0000, 0.0000]], "spacegroup": "F-43m", "e_tot_ha_per_atom": -0.134, "polymorph_energy_kcal_per_mol_atoms": 0.00}

---

{"formula": "CsCuNiSe3", "functional": "PBE", "state": "relaxed", "lattice_angstrom": [[1.8628, -7.9007, 0.0000], [1.8628, 7.9007, 0.0000], [0.0000, 0.0000, 10.1767]], "species": ["Se", "Cs", "Cs", "Se", "Cu", "Cu", "Ni", "Se", "Se", "Se", "Ni", "Se"], "fractional_positions": [[0.9456, 0.0544, 0.7500], [0.7513, 0.2487, 0.2500], [0.2487, 0.7513, 0.7500], [0.5979, 0.4021, 0.9664], [0.4602, 0.5398, 0.2500], [0.5398, 0.4602, 0.7500], [0.0000, 0.0000, 0.5000], [0.4021, 0.5979, 0.0336], [0.5979, 0.4021, 0.5336], [0.0544, 0.9456, 0.2500], [0.0000, 0.0000, 0.0000], [0.4021, 0.5979, 0.4664]], "spacegroup": "Cmcm", "e_tot_ha_per_atom": -0.141, "polymorph_energy_kcal_per_mol_atoms": 1.14}

---

{"formula": "DyErNiGe2", "functional": "PBE", "state": "relaxed", "lattice_angstrom": [[5.1856, -2.1038, 0.0000], [5.1856, 2.1038, 0.0000], [-4.7362, 0.0000, 9.0014]], "species": ["Er", "Ni", "Ni", "Ge", "Dy", "Ge", "Dy", "Ge", "Ge", "Er"], "fractional_positions": [[0.0088, 0.0088, 0.8330], [0.7227, 0.7227, 0.8501], [0.2773, 0.2773, 0.1499], [0.6527, 0.6527, 0.0655], [0.1864, 0.1864, 0.6089], [0.5183, 0.5183, 0.3773], [0.8136, 0.8136, 0.3911], [0.3473, 0.3473, 0.9345], [0.4817, 0.4817, 0.6227], [0.9912, 0.9912, 0.1670]], "spacegroup": "C2/m", "e_tot_ha_per_atom": -0.206}